! PrNd5Y6, optimized geometry, DFT GGA-PBE; values from VASP
! - space group = C2/m (12)
! - DFT formation energy (eV per atom) = 0.012
&SYSTEM
  ibrav = 0, nat = 12, ntyp = 3
/
ATOMIC_SPECIES
Pr 140.91 Pr.upf
Nd 144.24 Nd.upf
Y 88.91 Y.upf
CELL_PARAMETERS angstrom
5.973 -5.453 0.000
5.973 5.453 0.000
-1.115 0.000 6.194
ATOMIC_POSITIONS crystal
Pr 0.000 0.000 0.000
Nd 0.167 0.833 0.500
Nd 0.334 0.666 0.000
Nd 0.500 0.500 0.500
Nd 0.666 0.334 0.000
Nd 0.833 0.167 0.500
Y 0.083 0.417 0.250
Y 0.250 0.250 0.750
Y 0.417 0.083 0.250
Y 0.583 0.917 0.750
Y 0.750 0.750 0.250
Y 0.917 0.583 0.750

=====

! Pr6Nd5Y2, optimized geometry, DFT GGA-PBE; values from VASP
! - space group = Pbam (55)
! - DFT formation energy (eV per atom) = 0.087
&SYSTEM
  ibrav = 0, nat = 26, ntyp = 3
/
ATOMIC_SPECIES
Pr 140.91 Pr.upf
Nd 144.24 Nd.upf
Y 88.91 Y.upf
CELL_PARAMETERS angstrom
11.941 0.000 0.000
0.000 21.144 0.000
0.000 0.000 3.684
ATOMIC_POSITIONS crystal
Pr 0.062 0.080 0.000
Pr 0.082 0.367 0.000
Pr 0.175 0.637 0.500
Pr 0.325 0.137 0.500
Pr 0.418 0.867 0.000
Pr 0.438 0.580 0.000
Pr 0.562 0.420 0.000
Pr 0.582 0.133 0.000
Pr 0.675 0.863 0.500
Pr 0.825 0.363 0.500
Pr 0.918 0.633 0.000
Pr 0.938 0.920 0.000
Nd 0.000 0.500 0.500
Nd 0.089 0.226 0.500
Nd 0.198 0.945 0.500
Nd 0.302 0.445 0.500
Nd 0.411 0.726 0.500
Nd 0.500 0.000 0.500
Nd 0.589 0.274 0.500
Nd 0.698 0.555 0.500
Nd 0.802 0.055 0.500
Nd 0.911 0.774 0.500
Y 0.168 0.789 0.000
Y 0.332 0.289 0.000
Y 0.668 0.711 0.000
Y 0.832 0.211 0.000

=====

! Pr2Nd8Y, optimized geometry, DFT GGA-PBE; values from VASP
! - space group = C2/m (12)
! - DFT formation energy (eV per atom) = 0.145
&SYSTEM
  ibrav = 0, nat = 11, ntyp = 3
/
ATOMIC_SPECIES
Pr 140.91 Pr.upf
Nd 144.24 Nd.upf
Y 88.91 Y.upf
CELL_PARAMETERS angstrom
8.470 -3.451 0.000
8.470 3.451 0.000
-1.276 0.000 6.728
ATOMIC_POSITIONS crystal
Pr 0.196 0.196 0.307
Pr 0.804 0.804 0.693
Nd 0.176 0.650 0.095
Nd 0.244 0.244 0.815
Nd 0.350 0.824 0.905
Nd 0.409 0.409 0.587
Nd 0.591 0.591 0.413
Nd 0.650 0.176 0.095
Nd 0.756 0.756 0.185
Nd 0.824 0.350 0.905
Y 0.000 0.000 0.500

=====

! Pr2Nd4Y, optimized geometry, DFT GGA-PBE; values from VASP
! - space group = C2/m (12)
! - DFT formation energy (eV per atom) = 0.283
&SYSTEM
  ibrav = 0, nat = 14, ntyp = 3
/
ATOMIC_SPECIES
Pr 140.91 Pr.upf
Nd 144.24 Nd.upf
Y 88.91 Y.upf
CELL_PARAMETERS angstrom
5.627 -5.626 0.000
5.627 5.626 0.000
-0.053 0.000 8.253
ATOMIC_POSITIONS crystal
Pr 0.000 0.000 0.000
Pr 0.000 0.000 0.500
Pr 0.000 0.500 0.000
Pr 0.500 0.000 0.000
Nd 0.250 0.745 0.717
Nd 0.252 0.252 0.716
Nd 0.253 0.253 0.283
Nd 0.255 0.750 0.283
Nd 0.745 0.250 0.717
Nd 0.747 0.747 0.717
Nd 0.748 0.748 0.284
Nd 0.750 0.255 0.283
Y 0.500 0.500 0.000
Y 0.500 0.500 0.500

=====

! Pr5Nd2Y2, optimized geometry, DFT GGA-PBE; values from VASP
! - space group = P-1 (2)
! - DFT formation energy (eV per atom) = 0.013
&SYSTEM
  ibrav = 0, nat = 9, ntyp = 3
/
ATOMIC_SPECIES
Pr 140.91 Pr.upf
Nd 144.24 Nd.upf
Y 88.91 Y.upf
CELL_PARAMETERS angstrom
5.204 0.000 0.000
-2.602 5.822 0.000
-2.602 -2.329 10.453
ATOMIC_POSITIONS crystal
Pr 0.000 0.000 0.000
Pr 0.111 0.778 0.445
Pr 0.223 0.556 0.889
Pr 0.777 0.444 0.111
Pr 0.889 0.222 0.555
Nd 0.332 0.334 0.332
Nd 0.668 0.666 0.668
Y 0.445 0.111 0.777
Y 0.555 0.889 0.223

=====

! PrNd2Y2, optimized geometry, DFT GGA-PBE; values from VASP
! - space group = Imma (74)
! - DFT formation energy (eV per atom) = 0.127
&SYSTEM
  ibrav = 0, nat = 10, ntyp = 3
/
ATOMIC_SPECIES
Pr 140.91 Pr.upf
Nd 144.24 Nd.upf
Y 88.91 Y.upf
CELL_PARAMETERS angstrom
-2.952 3.563 8.311
2.952 -3.563 8.311
2.952 3.563 -8.311
ATOMIC_POSITIONS crystal
Pr 0.367 0.117 0.250
Pr 0.633 0.883 0.750
Nd 0.185 0.691 0.495
Nd 0.304 0.309 0.995
Nd 0.696 0.691 0.005
Nd 0.815 0.309 0.505
Y 0.139 0.889 0.250
Y 0.253 0.503 0.750
Y 0.747 0.497 0.250
Y 0.861 0.111 0.750

=====

! PrNd12Y7, optimized geometry, DFT GGA-PBE; values from VASP
! - space group = Im-3 (204)
! - DFT formation energy (eV per atom) = 0.676
&SYSTEM
  ibrav = 0, nat = 20, ntyp = 3
/
ATOMIC_SPECIES
Pr 140.91 Pr.upf
Nd 144.24 Nd.upf
Y 88.91 Y.upf
CELL_PARAMETERS angstrom
-5.809 5.809 5.809
5.809 -5.809 5.809
5.809 5.809 -5.809
ATOMIC_POSITIONS crystal
Pr 0.000 0.000 0.000
Nd 0.002 0.255 0.747
Nd 0.253 0.508 0.255
Nd 0.253 0.998 0.745
Nd 0.255 0.253 0.508
Nd 0.255 0.747 0.002
Nd 0.492 0.745 0.747
Nd 0.508 0.255 0.253
Nd 0.745 0.253 0.998
Nd 0.745 0.747 0.492
Nd 0.747 0.002 0.255
Nd 0.747 0.492 0.745
Nd 0.998 0.745 0.253
Y 0.000 0.000 0.500
Y 0.000 0.500 0.000
Y 0.000 0.500 0.500
Y 0.500 0.000 0.000
Y 0.500 0.000 0.500
Y 0.500 0.500 0.000
Y 0.500 0.500 0.500

=====

! PrNd7Y3, optimized geometry, DFT GGA-PBE; values from VASP
! - space group = C2/m (12)
! - DFT formation energy (eV per atom) = 0.216
&SYSTEM
  ibrav = 0, nat = 11, ntyp = 3
/
ATOMIC_SPECIES
Pr 140.91 Pr.upf
Nd 144.24 Nd.upf
Y 88.91 Y.upf
CELL_PARAMETERS angstrom
5.948 -5.124 0.000
5.948 5.124 0.000
-0.658 0.000 6.460
ATOMIC_POSITIONS crystal
Pr 0.000 0.000 0.000
Nd 0.000 0.000 0.500
Nd 0.076 0.425 0.760
Nd 0.263 0.263 0.287
Nd 0.425 0.076 0.760
Nd 0.575 0.924 0.240
Nd 0.737 0.737 0.713
Nd 0.924 0.575 0.240
Y 0.330 0.670 0.500
Y 0.500 0.500 0.000
Y 0.670 0.330 0.500

=====

! Pr2Nd6Y, optimized geometry, DFT GGA-PBE; values from VASP
! - space group = C2/m (12)
! - DFT formation energy (eV per atom) = 0.012
&SYSTEM
  ibrav = 0, nat = 9, ntyp = 3
/
ATOMIC_SPECIES
Pr 140.91 Pr.upf
Nd 144.24 Nd.upf
Y 88.91 Y.upf
CELL_PARAMETERS angstrom
8.019 -5.523 0.000
8.019 5.523 0.000
-0.840 0.000 3.580
ATOMIC_POSITIONS crystal
Pr 0.167 0.167 0.167
Pr 0.833 0.833 0.833
Nd 0.168 0.500 0.834
Nd 0.168 0.832 0.500
Nd 0.500 0.168 0.834
Nd 0.500 0.832 0.166
Nd 0.832 0.168 0.500
Nd 0.832 0.500 0.166
Y 0.500 0.500 0.500

=====

! PrNd3Y8, optimized geometry, DFT GGA-PBE; values from VASP
! - space group = Immm (71)
! - DFT formation energy (eV per atom) = 0.301
&SYSTEM
  ibrav = 0, nat = 12, ntyp = 3
/
ATOMIC_SPECIES
Pr 140.91 Pr.upf
Nd 144.24 Nd.upf
Y 88.91 Y.upf
CELL_PARAMETERS angstrom
-3.258 5.715 5.806
3.258 -5.715 5.806
3.258 5.715 -5.806
ATOMIC_POSITIONS crystal
Pr 0.000 0.000 0.000
Nd 0.251 0.751 0.500
Nd 0.500 0.500 0.000
Nd 0.749 0.249 0.500
Y 0.080 0.250 0.830
Y 0.251 0.250 0.501
Y 0.251 0.750 0.002
Y 0.420 0.250 0.170
Y 0.580 0.750 0.830
Y 0.749 0.250 0.998
Y 0.749 0.750 0.499
Y 0.920 0.750 0.170

=====

! Pr8Nd4Y3, optimized geometry, DFT GGA-PBE; values from VASP
! - space group = C2/m (12)
! - DFT formation energy (eV per atom) = 0.301
&SYSTEM
  ibrav = 0, nat = 15, ntyp = 3
/
ATOMIC_SPECIES
Pr 140.91 Pr.upf
Nd 144.24 Nd.upf
Y 88.91 Y.upf
CELL_PARAMETERS angstrom
7.086 -6.214 0.000
7.086 6.214 0.000
-3.351 0.000 6.092
ATOMIC_POSITIONS crystal
Pr 0.201 0.201 0.190
Pr 0.202 0.798 0.000
Pr 0.253 0.253 0.737
Pr 0.253 0.747 0.500
Pr 0.747 0.253 0.500
Pr 0.747 0.747 0.263
Pr 0.798 0.202 0.000
Pr 0.799 0.799 0.810
Nd 0.000 0.500 0.500
Nd 0.500 0.000 0.500
Nd 0.500 0.500 0.000
Nd 0.500 0.500 0.500
Y 0.000 0.000 0.500
Y 0.000 0.500 0.000
Y 0.500 0.000 0.000

=====

! Pr2Nd3Y2, optimized geometry, DFT GGA-PBE; values from VASP
! - space group = C2/m (12)
! - DFT formation energy (eV per atom) = 0.034
&SYSTEM
  ibrav = 0, nat = 14, ntyp = 3
/
ATOMIC_SPECIES
Pr 140.91 Pr.upf
Nd 144.24 Nd.upf
Y 88.91 Y.upf
CELL_PARAMETERS angstrom
17.295 0.000 0.000
0.000 3.602 0.000
-4.402 0.000 7.856
ATOMIC_POSITIONS crystal
Pr 0.138 0.000 0.334
Pr 0.362 0.500 0.666
Pr 0.638 0.500 0.334
Pr 0.862 0.000 0.666
Nd 0.000 0.500 0.500
Nd 0.205 0.000 0.793
Nd 0.295 0.500 0.207
Nd 0.500 0.000 0.500
Nd 0.705 0.500 0.793
Nd 0.795 0.000 0.207
Y 0.071 0.500 0.930
Y 0.429 0.000 0.070
Y 0.571 0.000 0.930
Y 0.929 0.500 0.070